# 1
# PrMgIn | Alexandria via LeMat-Bulk | PBE | optimized geometry
# **Calculated density**: 5.67 g cm⁻³
# **Symmetry**: Cmmm (65)
data_PrMgIn
_cell_length_a 8.028
_cell_length_b 8.028
_cell_length_c 4.460
_cell_angle_alpha 90.00
_cell_angle_beta 90.00
_cell_angle_gamma 145.20
_symmetry_space_group_name_H-M 'P 1'
_symmetry_Int_Tables_number 1
loop_
_symmetry_equiv_pos_as_xyz
'x,y,z'
loop_
_atom_site_label
_atom_site_fract_x
_atom_site_fract_y
_atom_site_fract_z
Pr1 0.166 0.834 0.000
Pr2 0.834 0.166 0.000
Mg1 0.000 0.000 0.500
Mg2 0.500 0.500 0.000
In1 0.356 0.644 0.500
In2 0.644 0.356 0.500

=====

# 2
# PrMg12In6 | Alexandria via LeMat-Bulk | PBE | optimized geometry
# **Calculated density**: 3.79 g cm⁻³
# **Symmetry**: R-3m (166)
data_PrMg12In6
_cell_length_a 8.263
_cell_length_b 8.263
_cell_length_c 8.263
_cell_angle_alpha 105.22
_cell_angle_beta 105.22
_cell_angle_gamma 105.22
_symmetry_space_group_name_H-M 'P 1'
_symmetry_Int_Tables_number 1
loop_
_symmetry_equiv_pos_as_xyz
'x,y,z'
loop_
_atom_site_label
_atom_site_fract_x
_atom_site_fract_y
_atom_site_fract_z
Pr1 0.000 0.000 0.000
Mg1 0.110 0.500 0.890
Mg2 0.110 0.890 0.500
Mg3 0.150 0.395 0.395
Mg4 0.395 0.150 0.395
Mg5 0.395 0.395 0.150
Mg6 0.500 0.110 0.890
Mg7 0.500 0.890 0.110
Mg8 0.605 0.605 0.850
Mg9 0.605 0.850 0.605
Mg10 0.850 0.605 0.605
Mg11 0.890 0.110 0.500
Mg12 0.890 0.500 0.110
In1 0.272 0.272 0.726
In2 0.272 0.726 0.272
In3 0.274 0.728 0.728
In4 0.726 0.272 0.272
In5 0.728 0.274 0.728
In6 0.728 0.728 0.274

=====

# 3
# Pr3MgIn | Alexandria via LeMat-Bulk | PBE | optimized geometry
# **Polymorph energy (0 for the lowest one)**: 0.000 eV/atom
# **Calculated density**: 5.98 g cm⁻³
# **Symmetry**: Cmcm (63)
data_Pr3MgIn
_cell_length_a 10.766
_cell_length_b 10.766
_cell_length_c 5.473
_cell_angle_alpha 90.00
_cell_angle_beta 90.00
_cell_angle_gamma 150.52
_symmetry_space_group_name_H-M 'P 1'
_symmetry_Int_Tables_number 1
loop_
_symmetry_equiv_pos_as_xyz
'x,y,z'
loop_
_atom_site_label
_atom_site_fract_x
_atom_site_fract_y
_atom_site_fract_z
Pr1 0.060 0.940 0.750
Pr2 0.249 0.751 0.750
Pr3 0.439 0.561 0.750
Pr4 0.561 0.439 0.250
Pr5 0.751 0.249 0.250
Pr6 0.940 0.060 0.250
Mg1 0.346 0.654 0.250
Mg2 0.654 0.346 0.750
In1 0.156 0.844 0.250
In2 0.844 0.156 0.750

=====

# 4
# Pr2Mg3In | Alexandria via LeMat-Bulk | PBE | optimized geometry
# **Calculated density**: 4.45 g cm⁻³
# **Symmetry**: Imm2 (44)
data_Pr2Mg3In
_cell_length_a 9.744
_cell_length_b 9.744
_cell_length_c 9.744
_cell_angle_alpha 157.37
_cell_angle_beta 150.44
_cell_angle_gamma 37.54
_symmetry_space_group_name_H-M 'P 1'
_symmetry_Int_Tables_number 1
loop_
_symmetry_equiv_pos_as_xyz
'x,y,z'
loop_
_atom_site_label
_atom_site_fract_x
_atom_site_fract_y
_atom_site_fract_z
Pr1 0.000 0.000 0.000
Pr2 0.739 0.239 0.500
Mg1 0.158 0.658 0.500
Mg2 0.314 0.814 0.500
Mg3 0.427 0.427 0.000
In1 0.582 0.582 0.000

=====

# 5
# Pr3MgIn3 | Alexandria via LeMat-Bulk | PBE | optimized geometry
# **Calculated density**: 6.24 g cm⁻³
# **Symmetry**: C2/m (12)
data_Pr3MgIn3
_cell_length_a 6.406
_cell_length_b 6.406
_cell_length_c 15.482
_cell_angle_alpha 107.60
_cell_angle_beta 107.60
_cell_angle_gamma 44.57
_symmetry_space_group_name_H-M 'P 1'
_symmetry_Int_Tables_number 1
loop_
_symmetry_equiv_pos_as_xyz
'x,y,z'
loop_
_atom_site_label
_atom_site_fract_x
_atom_site_fract_y
_atom_site_fract_z
Pr1 0.032 0.032 0.381
Pr2 0.097 0.097 0.918
Pr3 0.239 0.239 0.218
Pr4 0.761 0.761 0.782
Pr5 0.903 0.903 0.082
Pr6 0.968 0.968 0.619
Mg1 0.258 0.258 0.599
Mg2 0.742 0.742 0.401
In1 0.374 0.374 0.446
In2 0.382 0.382 0.929
In3 0.467 0.467 0.766
In4 0.533 0.533 0.234
In5 0.618 0.618 0.071
In6 0.626 0.626 0.554

=====

# 6
# Pr3Mg2In2 | Alexandria via LeMat-Bulk | PBE | optimized geometry
# **Calculated density**: 5.73 g cm⁻³
# **Symmetry**: Immm (71)
data_Pr3Mg2In2
_cell_length_a 11.300
_cell_length_b 11.300
_cell_length_c 11.300
_cell_angle_alpha 161.00
_cell_angle_beta 154.37
_cell_angle_gamma 32.09
_symmetry_space_group_name_H-M 'P 1'
_symmetry_Int_Tables_number 1
loop_
_symmetry_equiv_pos_as_xyz
'x,y,z'
loop_
_atom_site_label
_atom_site_fract_x
_atom_site_fract_y
_atom_site_fract_z
Pr1 0.000 0.000 0.000
Pr2 0.298 0.798 0.500
Pr3 0.702 0.202 0.500
Mg1 0.432 0.432 0.000
Mg2 0.568 0.568 0.000
In1 0.140 0.640 0.500
In2 0.860 0.360 0.500

=====

# 7
# Pr3Mg7In2 | Alexandria via LeMat-Bulk | PBE | optimized geometry
# **Calculated density**: 4.27 g cm⁻³
# **Symmetry**: R-3m (166)
data_Pr3Mg7In2
_cell_length_a 10.401
_cell_length_b 10.401
_cell_length_c 10.401
_cell_angle_alpha 34.39
_cell_angle_beta 34.39
_cell_angle_gamma 34.39
_symmetry_space_group_name_H-M 'P 1'
_symmetry_Int_Tables_number 1
loop_
_symmetry_equiv_pos_as_xyz
'x,y,z'
loop_
_atom_site_label
_atom_site_fract_x
_atom_site_fract_y
_atom_site_fract_z
Pr1 0.000 0.000 0.000
Pr2 0.144 0.144 0.144
Pr3 0.856 0.856 0.856
Mg1 0.078 0.585 0.585
Mg2 0.415 0.415 0.922
Mg3 0.415 0.922 0.415
Mg4 0.500 0.500 0.500
Mg5 0.585 0.078 0.585
Mg6 0.585 0.585 0.078
Mg7 0.922 0.415 0.415
In1 0.334 0.334 0.334
In2 0.666 0.666 0.666

=====

# 8
# Pr5Mg12In3 | Alexandria via LeMat-Bulk | PBE | optimized geometry
# **Calculated density**: 3.08 g cm⁻³
# **Symmetry**: Ia-3d (230)
data_Pr5Mg12In3
_cell_length_a 15.544
_cell_length_b 15.544
_cell_length_c 15.544
_cell_angle_alpha 109.47
_cell_angle_beta 109.47
_cell_angle_gamma 109.47
_symmetry_space_group_name_H-M 'P 1'
_symmetry_Int_Tables_number 1
loop_
_symmetry_equiv_pos_as_xyz
'x,y,z'
loop_
_atom_site_label
_atom_site_fract_x
_atom_site_fract_y
_atom_site_fract_z
Pr1 0.000 0.000 0.000
Pr2 0.000 0.000 0.500
Pr3 0.000 0.500 0.000
Pr4 0.000 0.500 0.500
Pr5 0.125 0.750 0.875
Pr6 0.125 0.875 0.250
Pr7 0.250 0.125 0.875
Pr8 0.250 0.625 0.375
Pr9 0.375 0.250 0.625
Pr10 0.375 0.625 0.750
Pr11 0.500 0.000 0.000
Pr12 0.500 0.000 0.500
Pr13 0.500 0.500 0.000
Pr14 0.500 0.500 0.500
Pr15 0.625 0.375 0.250
Pr16 0.625 0.750 0.375
Pr17 0.750 0.375 0.625
Pr18 0.750 0.875 0.125
Pr19 0.875 0.125 0.750
Pr20 0.875 0.250 0.125
Mg1 0.060 0.648 0.409
Mg2 0.060 0.911 0.650
Mg3 0.089 0.239 0.148
Mg4 0.089 0.350 0.940
Mg5 0.091 0.739 0.650
Mg6 0.091 0.852 0.440
Mg7 0.148 0.089 0.239
Mg8 0.148 0.560 0.909
Mg9 0.150 0.239 0.591
Mg10 0.150 0.411 0.560
Mg11 0.239 0.148 0.089
Mg12 0.239 0.591 0.150
Mg13 0.261 0.350 0.909
Mg14 0.261 0.411 0.352
Mg15 0.350 0.909 0.261
Mg16 0.350 0.940 0.089
Mg17 0.352 0.261 0.411
Mg18 0.352 0.591 0.940
Mg19 0.409 0.060 0.648
Mg20 0.409 0.850 0.761
Mg21 0.411 0.352 0.261
Mg22 0.411 0.560 0.150
Mg23 0.440 0.091 0.852
Mg24 0.440 0.850 0.589
Mg25 0.560 0.150 0.411
Mg26 0.560 0.909 0.148
Mg27 0.589 0.440 0.850
Mg28 0.589 0.648 0.739
Mg29 0.591 0.150 0.239
Mg30 0.591 0.940 0.352
Mg31 0.648 0.409 0.060
Mg32 0.648 0.739 0.589
Mg33 0.650 0.060 0.911
Mg34 0.650 0.091 0.739
Mg35 0.739 0.589 0.648
Mg36 0.739 0.650 0.091
Mg37 0.761 0.409 0.850
Mg38 0.761 0.852 0.911
Mg39 0.850 0.589 0.440
Mg40 0.850 0.761 0.409
Mg41 0.852 0.440 0.091
Mg42 0.852 0.911 0.761
Mg43 0.909 0.148 0.560
Mg44 0.909 0.261 0.350
Mg45 0.911 0.650 0.060
Mg46 0.911 0.761 0.852
Mg47 0.940 0.089 0.350
Mg48 0.940 0.352 0.591
In1 0.125 0.250 0.375
In2 0.125 0.375 0.750
In3 0.250 0.375 0.125
In4 0.250 0.875 0.625
In5 0.375 0.125 0.250
In6 0.375 0.750 0.125
In7 0.625 0.250 0.875
In8 0.625 0.875 0.750
In9 0.750 0.125 0.375
In10 0.750 0.625 0.875
In11 0.875 0.625 0.250
In12 0.875 0.750 0.625

=====

# 9
# PrMgIn | Alexandria via LeMat-Bulk | PBE | optimized geometry
# **Calculated density**: 5.67 g cm⁻³
# **Symmetry**: I4mm (107)
data_PrMgIn
_cell_length_a 6.907
_cell_length_b 6.907
_cell_length_c 6.907
_cell_angle_alpha 150.02
_cell_angle_beta 150.02
_cell_angle_gamma 42.91
_symmetry_space_group_name_H-M 'P 1'
_symmetry_Int_Tables_number 1
loop_
_symmetry_equiv_pos_as_xyz
'x,y,z'
loop_
_atom_site_label
_atom_site_fract_x
_atom_site_fract_y
_atom_site_fract_z
Pr1 0.000 0.000 0.000
Mg1 0.312 0.312 0.000
In1 0.674 0.674 0.000

=====

# 10
# PrMgIn6 | Alexandria via LeMat-Bulk | PBE | optimized geometry
# **Calculated density**: 6.83 g cm⁻³
# **Symmetry**: Cmmm (65)
data_PrMgIn6
_cell_length_a 6.807
_cell_length_b 6.807
_cell_length_c 4.484
_cell_angle_alpha 90.00
_cell_angle_beta 90.00
_cell_angle_gamma 91.14
_symmetry_space_group_name_H-M 'P 1'
_symmetry_Int_Tables_number 1
loop_
_symmetry_equiv_pos_as_xyz
'x,y,z'
loop_
_atom_site_label
_atom_site_fract_x
_atom_site_fract_y
_atom_site_fract_z
Pr1 0.000 0.000 0.000
Mg1 0.500 0.500 0.000
In1 0.000 0.500 0.000
In2 0.260 0.740 0.500
In3 0.263 0.263 0.500
In4 0.500 0.000 0.000
In5 0.737 0.737 0.500
In6 0.740 0.260 0.500

=====

# 11
# Pr3MgIn12 | Alexandria via LeMat-Bulk | PBE | optimized geometry
# **Calculated density**: 7.24 g cm⁻³
# **Symmetry**: P4/mmm (123)
data_Pr3MgIn12
_cell_length_a 4.728
_cell_length_b 4.728
_cell_length_c 18.736
_cell_angle_alpha 90.00
_cell_angle_beta 90.00
_cell_angle_gamma 90.00
_symmetry_space_group_name_H-M 'P 1'
_symmetry_Int_Tables_number 1
loop_
_symmetry_equiv_pos_as_xyz
'x,y,z'
loop_
_atom_site_label
_atom_site_fract_x
_atom_site_fract_y
_atom_site_fract_z
Pr1 0.000 0.000 0.000
Pr2 0.000 0.000 0.255
Pr3 0.000 0.000 0.745
Mg1 0.000 0.000 0.500
In1 0.000 0.500 0.128
In2 0.000 0.500 0.384
In3 0.000 0.500 0.616
In4 0.000 0.500 0.872
In5 0.500 0.000 0.128
In6 0.500 0.000 0.384
In7 0.500 0.000 0.616
In8 0.500 0.000 0.872
In9 0.500 0.500 0.000
In10 0.500 0.500 0.249
In11 0.500 0.500 0.500
In12 0.500 0.500 0.751

=====

# 12
# Pr4MgIn2 | Alexandria via LeMat-Bulk | PBE | optimized geometry
# **Polymorph energy (0 for the lowest one)**: 0.000 eV/atom
# **Calculated density**: 6.05 g cm⁻³
# **Symmetry**: R-3m (166)
data_Pr4MgIn2
_cell_length_a 9.258
_cell_length_b 9.258
_cell_length_c 9.258
_cell_angle_alpha 34.27
_cell_angle_beta 34.27
_cell_angle_gamma 34.27
_symmetry_space_group_name_H-M 'P 1'
_symmetry_Int_Tables_number 1
loop_
_symmetry_equiv_pos_as_xyz
'x,y,z'
loop_
_atom_site_label
_atom_site_fract_x
_atom_site_fract_y
_atom_site_fract_z
Pr1 0.115 0.115 0.115
Pr2 0.368 0.368 0.368
Pr3 0.632 0.632 0.632
Pr4 0.885 0.885 0.885
Mg1 0.500 0.500 0.500
In1 0.243 0.243 0.243
In2 0.757 0.757 0.757

=====

no.,Fermi-level density of states (states/eV/atom),ΔH_f (0 K) (eV per atom)
1,0.94,-0.32
2,0.41,0.03
3,1.21,-0.23
4,0.89,-0.09
5,0.88,-0.41
6,1.13,-0.31
7,0.95,-0.17
8,1.15,0.54
9,0.78,-0.25
10,0.57,-0.21
11,0.39,-0.35
12,0.95,-0.27